Record 1
VASP calculation (PBE) on a geometry-optimized BeFePtPb structure.

a = 4.4361 Å, b = 4.4361 Å, c = 4.4361 Å
α = 60.00°, β = 60.00°, γ = 60.00°
Atoms (fractional coordinates):
Fe  0.7500  0.7500  0.7500
Pb  0.0000  0.0000  0.0000
Be  0.2500  0.2500  0.2500
Pt  0.5000  0.5000  0.5000

Output
**Crystal system**: cubic
**Space-group type**: F-43m, No. 216
**Energy above the most stable polymorph in this dataset**: 0.000 eV per atom



Record 2
VASP calculation (PBE) on a geometry-optimized BeFeRePb structure.

a = 4.3344 Å, b = 4.3344 Å, c = 4.3344 Å
α = 60.00°, β = 60.00°, γ = 60.00°
Atoms (fractional coordinates):
Pb  0.0000  0.0000  0.0000
Re  0.5000  0.5000  0.5000
Be  0.2500  0.2500  0.2500
Fe  0.7500  0.7500  0.7500

Output
**Crystal system**: cubic
**Space-group type**: F-43m, No. 216
**Energy above the most stable polymorph in this dataset**: 0.000 eV per atom



Record 3
VASP calculation (PBE) on a geometry-optimized ScBeFePb structure.

a = 4.4658 Å, b = 4.4658 Å, c = 4.4658 Å
α = 60.00°, β = 60.00°, γ = 60.00°
Last column: magnetic moment on the atom in μB.
Atoms (fractional coordinates):
Sc  0.5000  0.5000  0.5000  -0.21
Fe  0.7500  0.7500  0.7500  1.53
Be  0.2500  0.2500  0.2500  -0.04
Pb  0.0000  0.0000  0.0000  0.00

Output
**Crystal system**: cubic
**Space-group type**: F-43m, No. 216
**Energy above the most stable polymorph in this dataset**: 0.000 eV per atom



Record 4
VASP calculation (PBE) on a geometry-optimized ScBeFePb structure.

a = 4.5139 Å, b = 4.5139 Å, c = 4.5139 Å
α = 60.00°, β = 60.00°, γ = 60.00°
Last column: magnetic moment on the atom in μB.
Atoms (fractional coordinates):
Pb  0.2500  0.2500  0.2500  -0.01
Be  0.0000  0.0000  0.0000  0.00
Sc  0.5000  0.5000  0.5000  -0.23
Fe  0.7500  0.7500  0.7500  1.98

Output
**Crystal system**: cubic
**Space-group type**: F-43m, No. 216
**Energy above the most stable polymorph in this dataset**: 0.109 eV per atom



Record 5
VASP calculation (PBE) on a geometry-optimized ScBeFePb structure.

a = 4.4943 Å, b = 4.4943 Å, c = 4.4943 Å
α = 60.00°, β = 60.00°, γ = 60.00°
Last column: magnetic moment on the atom in μB.
Atoms (fractional coordinates):
Sc  0.0000  0.0000  0.0000  -0.12
Be  0.7500  0.7500  0.7500  -0.04
Fe  0.5000  0.5000  0.5000  0.89
Pb  0.2500  0.2500  0.2500  -0.01

Output
**Crystal system**: cubic
**Space-group type**: F-43m, No. 216
**Energy above the most stable polymorph in this dataset**: 0.025 eV per atom



Record 6
VASP calculation (PBE) on a geometry-optimized BeFeSiPb structure.

a = 4.3698 Å, b = 4.3698 Å, c = 4.3698 Å
α = 60.00°, β = 60.00°, γ = 60.00°
Atoms (fractional coordinates):
Fe  0.2500  0.2500  0.2500
Be  0.7500  0.7500  0.7500
Si  0.0000  0.0000  0.0000
Pb  0.5000  0.5000  0.5000

Output
**Crystal system**: cubic
**Space-group type**: F-43m, No. 216
**Energy above the most stable polymorph in this dataset**: 0.000 eV per atom



Record 7
VASP calculation (PBE) on a geometry-optimized BeFeSiPb structure.

a = 4.5175 Å, b = 4.5175 Å, c = 4.5175 Å
α = 60.00°, β = 60.00°, γ = 60.00°
Atoms (fractional coordinates):
Si  0.2500  0.2500  0.2500
Fe  0.0000  0.0000  0.0000
Be  0.7500  0.7500  0.7500
Pb  0.5000  0.5000  0.5000

Output
**Crystal system**: cubic
**Space-group type**: F-43m, No. 216
**Energy above the most stable polymorph in this dataset**: 0.088 eV per atom



Record 8
VASP calculation (PBE) on a geometry-optimized TaBeFePb structure.

a = 4.4067 Å, b = 4.4067 Å, c = 4.4067 Å
α = 60.00°, β = 60.00°, γ = 60.00°
Atoms (fractional coordinates):
Be  0.2500  0.2500  0.2500
Fe  0.7500  0.7500  0.7500
Pb  0.0000  0.0000  0.0000
Ta  0.5000  0.5000  0.5000

Output
**Crystal system**: cubic
**Space-group type**: F-43m, No. 216
**Energy above the most stable polymorph in this dataset**: 0.000 eV per atom



Repeat the seventh record exactly.
VASP calculation (PBE) on a geometry-optimized BeFeSiPb structure.

a = 4.5175 Å, b = 4.5175 Å, c = 4.5175 Å
α = 60.00°, β = 60.00°, γ = 60.00°
Atoms (fractional coordinates):
Si  0.2500  0.2500  0.2500
Fe  0.0000  0.0000  0.0000
Be  0.7500  0.7500  0.7500
Pb  0.5000  0.5000  0.5000

Output
**Crystal system**: cubic
**Space-group type**: F-43m, No. 216
**Energy above the most stable polymorph in this dataset**: 0.088 eV per atom



energy above the most stable polymorph in this dataset of number 6 (BeFeSiPb)?
0.000 eV per atom